Entry P
Li3RuF | PBE | optimized geometry

Geometry as extended XYZ:
```
5
Lattice="4.949 0.000 0.000 0.000 4.949 0.000 0.000 0.000 4.949" Properties=species:S:1:pos:R:3 pbc="T T T"
Li 0.000 0.000 2.474
Li 0.000 2.474 0.000
Li 2.474 0.000 0.000
Ru 0.000 0.000 0.000
F 2.474 2.474 2.474
```

* magnetization: 2.0 Bohr magnetons per cell
* V: 121.21 Å³/cell
* DOS(E_F): 1.0701 states/eV per atom

=====

Entry Q
Li3RuF | PBE | optimized geometry

Geometry as extended XYZ:
```
5
Lattice="3.944 0.000 0.000 0.000 3.944 0.000 0.000 0.000 3.944" Properties=species:S:1:pos:R:3 pbc="T T T"
Li 0.000 0.000 1.972
Li 0.000 1.972 0.000
Li 1.972 0.000 0.000
Ru 1.972 1.972 1.972
F 0.000 0.000 0.000
```

* magnetization: 1.7 Bohr magnetons per cell
* V: 61.33 Å³/cell
* DOS(E_F): 0.9320 states/eV per atom

=====

entry Q wins, 900 meV per atom ahead of the next structure.

=====

Entry P
LiRuF3 | PBE | optimized geometry

Geometry as extended XYZ:
```
5
Lattice="4.184 0.000 0.000 0.000 4.184 0.000 0.000 0.000 4.184" Properties=species:S:1:pos:R:3 pbc="T T T"
Li 0.000 0.000 0.000
Ru 2.092 2.092 2.092
F 0.000 2.092 2.092
F 2.092 0.000 2.092
F 2.092 2.092 0.000
```

* magnetization: 0.4 Bohr magnetons per cell
* V: 73.25 Å³/cell
* DOS(E_F): 0.6005 states/eV per atom

=====

Entry Q
LiRuF3 | PBE | optimized geometry

Geometry as extended XYZ:
```
5
Lattice="3.744 0.000 0.000 0.000 3.744 0.000 0.000 0.000 3.744" Properties=species:S:1:pos:R:3 pbc="T T T"
Li 0.000 0.000 0.000
Ru 1.872 1.872 1.872
F 0.000 0.000 1.872
F 0.000 1.872 0.000
F 1.872 0.000 0.000
```

* magnetization: 4.0 Bohr magnetons per cell
* V: 52.48 Å³/cell
* DOS(E_F): 0.6801 states/eV per atom

=====

entry Q wins, 27 meV per atom ahead of the next structure.

=====

Entry P
LiRu3F | PBE | optimized geometry

Geometry as extended XYZ:
```
5
Lattice="4.176 0.000 0.000 0.000 4.176 0.000 0.000 0.000 4.176" Properties=species:S:1:pos:R:3 pbc="T T T"
Li 0.000 0.000 0.000
Ru 0.000 2.088 2.088
Ru 2.088 0.000 2.088
Ru 2.088 2.088 0.000
F 2.088 2.088 2.088
```

* magnetization: 1.3 Bohr magnetons per cell
* V: 72.83 Å³/cell
* DOS(E_F): 1.5938 states/eV per atom

=====

Entry Q
LiRu3F | PBE | optimized geometry

Geometry as extended XYZ:
```
5
Lattice="4.187 0.000 0.000 0.000 4.187 0.000 0.000 0.000 4.187" Properties=species:S:1:pos:R:3 pbc="T T T"
Li 0.000 0.000 0.000
Ru 0.000 0.000 2.093
Ru 0.000 2.093 0.000
Ru 2.093 0.000 0.000
F 2.093 2.093 2.093
```

* magnetization: 4.7 Bohr magnetons per cell
* V: 73.39 Å³/cell
* DOS(E_F): 0.9303 states/eV per atom

=====

entry P wins, 457 meV per atom ahead of the next structure.

=====

Entry P
Li4SF2 | PBE | optimized geometry

Geometry as extended XYZ:
```
7
Lattice="-2.274 2.274 5.656 2.274 -2.274 5.656 2.274 2.274 -5.656" Properties=species:S:1:pos:R:3 pbc="T T T"
Li 2.274 0.000 0.000
Li 0.000 0.000 2.280
Li 0.000 2.274 0.000
Li 0.000 0.000 9.031
S 0.000 0.000 0.000
F 0.000 0.000 4.013
F 0.000 0.000 7.298
```

* magnetization: 0.0 Bohr magnetons per cell
* V: 117.03 Å³/cell
* DOS(E_F): 0.0000 states/eV per atom

=====

Entry Q
Li4SF2 | PBE | optimized geometry

Geometry as extended XYZ:
```
14
Lattice="1.694 -5.025 0.000 1.694 5.025 0.000 0.000 0.000 9.764" Properties=species:S:1:pos:R:3 pbc="T T T"
Li 0.000 0.000 0.000
Li 0.000 0.000 4.882
Li 1.694 2.126 5.959
Li 1.694 2.126 8.688
Li 1.694 0.614 2.441
Li 1.694 -0.614 7.323
Li 1.694 -2.126 1.076
Li 1.694 -2.126 3.806
S 1.694 3.992 2.441
S 1.694 -3.992 7.323
F 1.694 1.357 0.632
F 1.694 1.357 4.250
F 1.694 -1.357 5.514
F 1.694 -1.357 9.133
```

* magnetization: 0.0 Bohr magnetons per cell
* V: 166.26 Å³/cell
* DOS(E_F): 0.0000 states/eV per atom

=====

entry Q wins, 249 meV per atom ahead of the next structure.

=====

Entry P
LiSF2 | PBE | optimized geometry

Geometry as extended XYZ:
```
4
Lattice="1.521 0.878 5.959 -1.521 0.878 5.959 0.000 -1.756 5.959" Properties=species:S:1:pos:R:3 pbc="T T T"
Li 0.000 0.000 0.000
S 0.000 0.000 8.938
F 0.000 0.000 7.014
F 0.000 0.000 10.862
```

* magnetization: 0.0 Bohr magnetons per cell
* V: 47.76 Å³/cell
* DOS(E_F): 0.3169 states/eV per atom

=====

Entry Q
LiSF2 | PBE | optimized geometry

Geometry as extended XYZ:
```
8
Lattice="-2.596 2.596 3.891 2.596 -2.596 3.891 2.596 2.596 -3.891" Properties=species:S:1:pos:R:3 pbc="T T T"
Li 0.000 0.000 0.000
Li 0.000 2.596 1.946
S 2.596 0.000 1.946
S 0.000 0.000 3.891
F 3.894 0.860 -0.973
F 0.860 1.298 0.973
F -1.298 1.736 2.918
F 1.736 1.298 4.864
```

* magnetization: 0.0 Bohr magnetons per cell
* V: 104.88 Å³/cell
* DOS(E_F): 0.6470 states/eV per atom

=====

Entry R
LiSF2 | PBE | optimized geometry

Geometry as extended XYZ:
```
4
Lattice="1.444 0.833 7.269 -1.444 0.833 7.269 0.000 -1.667 7.269" Properties=species:S:1:pos:R:3 pbc="T T T"
Li 0.000 0.000 0.000
S 0.000 0.000 10.903
F 0.000 0.000 1.690
F 0.000 0.000 20.117
```

* magnetization: 0.6 Bohr magnetons per cell
* V: 52.47 Å³/cell
* DOS(E_F): 0.4898 states/eV per atom

=====

entry P wins, 548 meV per atom ahead of the next structure.

=====

Entry P
LiSb2F | PBE | optimized geometry

Geometry as extended XYZ:
```
4
Lattice="0.000 3.331 3.331 3.331 0.000 3.331 3.331 3.331 0.000" Properties=species:S:1:pos:R:3 pbc="T T T"
Li 0.000 0.000 0.000
Sb 1.666 1.666 1.666
Sb 4.997 4.997 4.997
F 3.331 3.331 3.331
```

* magnetization: 0.0 Bohr magnetons per cell
* V: 73.94 Å³/cell
* DOS(E_F): 0.0200 states/eV per atom

=====

Entry Q
LiSb2F | PBE | optimized geometry

Geometry as extended XYZ:
```
8
Lattice="-2.071 2.071 10.857 2.071 -2.071 10.857 2.071 2.071 -10.857" Properties=species:S:1:pos:R:3 pbc="T T T"
Li 0.000 0.000 0.000
Li 0.000 2.071 5.428
Sb 3.106 1.000 -2.714
Sb 1.000 1.035 2.714
Sb -1.035 1.070 8.143
Sb 1.070 1.035 13.571
F 2.071 0.000 5.428
F 0.000 0.000 10.857
```

* magnetization: 0.0 Bohr magnetons per cell
* V: 186.18 Å³/cell
* DOS(E_F): 0.4317 states/eV per atom

=====

entry Q wins, 64 meV per atom ahead of the next structure.

=====

Entry P
LiSbF6 | PBE | optimized geometry

Geometry as extended XYZ:
```
16
Lattice="5.132 0.000 0.000 -2.566 4.444 0.000 0.000 0.000 9.534" Properties=species:S:1:pos:R:3 pbc="T T T"
Li 0.000 2.963 2.383
Li 2.566 1.481 7.150
Sb 0.000 0.000 0.000
Sb 0.000 0.000 4.767
F -0.632 1.429 1.116
F -1.644 3.182 3.651
F 0.632 1.429 3.651
F -1.012 4.277 1.116
F 1.554 0.167 5.882
F 0.922 1.262 8.418
F 1.644 3.182 1.116
F 1.012 4.277 3.651
F 3.578 0.167 8.418
F 1.934 3.015 5.882
F 4.210 1.262 5.882
F 3.198 3.015 8.418
```

* magnetization: 0.0 Bohr magnetons per cell
* V: 217.44 Å³/cell
* DOS(E_F): 0.0000 states/eV per atom

=====

Entry Q
LiSbF6 | PBE | optimized geometry

Geometry as extended XYZ:
```
8
Lattice="2.660 1.536 4.606 -2.660 1.536 4.606 0.000 -3.072 4.606" Properties=species:S:1:pos:R:3 pbc="T T T"
Li 0.000 0.000 0.000
Sb 0.000 0.000 6.910
F -1.540 0.286 5.802
F -1.018 -1.190 8.017
F 0.522 -1.477 5.802
F -0.522 1.477 8.017
F 1.018 1.190 5.802
F 1.540 -0.286 8.017
```

* magnetization: 0.0 Bohr magnetons per cell
* V: 112.93 Å³/cell
* DOS(E_F): 0.0000 states/eV per atom

=====

entry Q wins, 13 meV per atom ahead of the next structure.

=====

Entry P
LiSbTe2F | PBE | optimized geometry

Geometry as extended XYZ:
```
5
Lattice="5.405 0.000 0.000 0.000 5.405 0.000 0.000 0.000 4.469" Properties=species:S:1:pos:R:3 pbc="T T T"
Li 0.000 0.000 0.000
Sb 2.703 2.703 0.000
Te 0.000 2.703 2.235
Te 2.703 0.000 2.235
F 2.703 2.703 2.235
```

* magnetization: 0.0 Bohr magnetons per cell
* V: 130.58 Å³/cell
* DOS(E_F): 0.5138 states/eV per atom

=====

Entry Q
LiSbTe2F | PBE | optimized geometry

Geometry as extended XYZ:
```
5
Lattice="4.900 0.000 0.000 0.000 4.900 0.000 0.000 0.000 5.006" Properties=species:S:1:pos:R:3 pbc="T T T"
Li 0.000 0.000 0.000
Sb 0.000 0.000 2.503
Te 0.000 2.450 0.000
Te 2.450 0.000 0.000
F 2.450 2.450 2.503
```

* magnetization: 0.0 Bohr magnetons per cell
* V: 120.19 Å³/cell
* DOS(E_F): 0.4782 states/eV per atom

=====

entry P wins, 245 meV per atom ahead of the next structure.

=====

Entry P
LiSb2TeF | PBE | optimized geometry

Geometry as extended XYZ:
```
5
Lattice="4.750 0.000 0.000 0.000 4.750 0.000 0.000 0.000 5.590" Properties=species:S:1:pos:R:3 pbc="T T T"
Li 0.000 0.000 0.000
Sb 0.000 2.375 2.795
Sb 2.375 0.000 2.795
Te 2.375 2.375 0.000
F 2.375 2.375 2.795
```

* magnetization: 0.0 Bohr magnetons per cell
* V: 126.12 Å³/cell
* DOS(E_F): 0.5920 states/eV per atom

=====

Entry Q
LiSb2TeF | PBE | optimized geometry

Geometry as extended XYZ:
```
5
Lattice="4.931 0.000 0.000 0.000 4.931 0.000 0.000 0.000 4.889" Properties=species:S:1:pos:R:3 pbc="T T T"
Li 0.000 0.000 0.000
Sb 0.000 2.465 0.000
Sb 2.465 0.000 0.000
Te 0.000 0.000 2.444
F 2.465 2.465 2.444
```

* magnetization: 0.0 Bohr magnetons per cell
* V: 118.85 Å³/cell
* DOS(E_F): 0.6871 states/eV per atom

=====

entry P wins, 258 meV per atom ahead of the next structure.

=====

Entry P
LiScF3 | PBE | optimized geometry

Geometry as extended XYZ:
```
5
Lattice="4.204 0.000 0.000 0.000 4.204 0.000 0.000 0.000 4.204" Properties=species:S:1:pos:R:3 pbc="T T T"
Li 0.000 0.000 0.000
Sc 2.102 2.102 2.102
F 0.000 2.102 2.102
F 2.102 0.000 2.102
F 2.102 2.102 0.000
```

* magnetization: 0.5 Bohr magnetons per cell
* V: 74.28 Å³/cell
* DOS(E_F): 0.5945 states/eV per atom

=====

Entry Q
LiScF3 | PBE | optimized geometry

Geometry as extended XYZ:
```
10
Lattice="5.517 0.000 0.000 -2.759 4.778 0.000 0.000 0.000 5.316" Properties=species:S:1:pos:R:3 pbc="T T T"
Li 0.000 0.000 0.000
Li 0.000 0.000 2.658
Sc 2.759 1.593 0.000
Sc 2.759 1.593 2.658
F 1.564 0.337 1.329
F 1.074 1.186 3.987
F 3.953 0.337 3.987
F 2.269 3.255 1.329
F 4.443 1.186 1.329
F 3.249 3.255 3.987
```

* magnetization: 0.5 Bohr magnetons per cell
* V: 140.15 Å³/cell
* DOS(E_F): 0.4141 states/eV per atom

=====

entry Q wins, 142 meV per atom ahead of the next structure.

=====

Entry P
LiScF2 | PBE | optimized geometry

Geometry as extended XYZ:
```
8
Lattice="-2.461 2.461 4.701 2.461 -2.461 4.701 2.461 2.461 -4.701" Properties=species:S:1:pos:R:3 pbc="T T T"
Li 0.000 0.000 0.000
Li 0.000 2.461 2.350
Sc 2.461 0.000 2.350
Sc 0.000 0.000 4.701
F 3.692 0.977 -1.175
F 0.977 1.231 1.175
F -1.231 1.485 3.525
F 1.485 1.231 5.876
```

* magnetization: 3.8 Bohr magnetons per cell
* V: 113.90 Å³/cell
* DOS(E_F): 0.3253 states/eV per atom

=====

Entry Q
LiScF2 | PBE | optimized geometry

Geometry as extended XYZ:
```
16
Lattice="-2.983 2.983 6.162 2.983 -2.983 6.162 2.983 2.983 -6.162" Properties=species:S:1:pos:R:3 pbc="T T T"
Li 0.000 0.000 0.000
Li 1.492 1.492 -3.081
Li 1.492 -1.492 3.081
Li 0.000 2.983 0.000
Sc 2.983 0.000 0.000
Sc -1.492 1.492 3.081
Sc 0.000 0.000 6.162
Sc 1.492 1.492 3.081
F 2.983 -0.012 2.284
F 2.983 2.971 -2.284
F 1.479 1.492 0.797
F 1.504 -1.492 6.960
F 1.479 4.475 -0.797
F 1.504 1.492 5.365
F 0.000 0.012 8.446
F 0.000 2.996 3.879
```

* magnetization: 0.0 Bohr magnetons per cell
* V: 219.37 Å³/cell
* DOS(E_F): 0.2927 states/eV per atom

=====

Entry R
LiScF2 | PBE | optimized geometry

Geometry as extended XYZ:
```
4
Lattice="1.611 0.930 6.157 -1.611 0.930 6.157 0.000 -1.860 6.157" Properties=species:S:1:pos:R:3 pbc="T T T"
Li 0.000 0.000 0.000
Sc 0.000 0.000 9.236
F 0.000 0.000 7.212
F 0.000 0.000 11.259
```

* magnetization: 0.0 Bohr magnetons per cell
* V: 55.34 Å³/cell
* DOS(E_F): 0.1099 states/eV per atom

=====

Entry S
LiScF2 | PBE | optimized geometry

Geometry as extended XYZ:
```
4
Lattice="0.000 2.906 2.906 2.906 0.000 2.906 2.906 2.906 0.000" Properties=species:S:1:pos:R:3 pbc="T T T"
Li 0.000 0.000 0.000
Sc 2.906 2.906 2.906
F 1.453 1.453 1.453
F 4.358 4.358 4.358
```

* magnetization: 1.8 Bohr magnetons per cell
* V: 49.06 Å³/cell
* DOS(E_F): 0.6513 states/eV per atom

=====

entry R wins, 316 meV per atom ahead of the next structure.